No. 1
Here is a relaxed structure of AlCr2Mo2 from Alexandria. Energies are from PBE.

Its space group is P4/mbm. For the energy above the most stable polymorph in this dataset, the calculation gives 0 meV/atom.

Cell lengths 6.9703, 6.9703, 3.0458 Å; angles 90.00, 90.00, 90.00 degrees
Sites, in units of the cell vectors:
1 Al 0.0000 0.0000 0.0000
2 Al 0.5000 0.5000 0.0000
3 Cr 0.1312 0.3688 0.0000
4 Cr 0.3688 0.8688 0.0000
5 Cr 0.6312 0.1312 0.0000
6 Cr 0.8688 0.6312 0.0000
7 Mo 0.1752 0.6752 0.5000
8 Mo 0.3248 0.1752 0.5000
9 Mo 0.6752 0.8248 0.5000
10 Mo 0.8248 0.3248 0.5000


No. 2
Here is a relaxed structure of AlCrMo2 from Alexandria. Energies are from PBE.

Its space group is C2/m.

Cell lengths 5.0565, 5.0565, 2.6776 Å; angles 99.50, 99.50, 116.30 degrees
Sites, in units of the cell vectors:
1 Al 0.0000 0.0000 0.0000
2 Cr 0.5000 0.5000 0.0000
3 Mo 0.0000 0.5000 0.5000
4 Mo 0.5000 0.0000 0.5000


No. 3
Here is a relaxed structure of AlCrMo3 from Alexandria. Energies are from PBE.

Its space group is Pm-3m. For the energy above the most stable polymorph in this dataset, the calculation gives 727 meV/atom.

Cell lengths 4.4777, 4.4777, 4.4777 Å; angles 90.00, 90.00, 90.00 degrees
Sites, in units of the cell vectors:
1 Al 0.0000 0.0000 0.0000
2 Cr 0.5000 0.5000 0.5000
3 Mo 0.0000 0.0000 0.5000
4 Mo 0.0000 0.5000 0.0000
5 Mo 0.5000 0.0000 0.0000


No. 4
Here is a relaxed structure of NbAlCrMo from Alexandria. Energies are from PBE.

Its space group is F-43m.

Cell lengths 4.4451, 4.4451, 4.4451 Å; angles 60.00, 60.00, 60.00 degrees
Sites, in units of the cell vectors:
1 Nb 0.0000 0.0000 0.0000
2 Al 0.5000 0.5000 0.5000
3 Cr 0.2500 0.2500 0.2500
4 Mo 0.7500 0.7500 0.7500


What energy relative to the elements values result from the calculations? In sequence: 0.2965; 0.0239; 1.8076; -0.0421 eV per atom.
What energy values result from the calculations? In sequence: -0.6346; -0.6419; -0.5413; -0.6327 Ry per atom.
What N(E_F) values result from the calculations? In sequence: 0.72; 0.91; 1.54; 0.74 states/eV/atom.